This record from Alexandria describes an optimized crystal structure of MnAuF3. The functional is GGA+U.

The structure in extended XYZ format:
```
5
Lattice="-1.086 0.190 4.336 -4.338 0.066 -1.089 -0.110 -4.469 0.168" Properties=species:S:1:pos:R:3 pbc="T T T"
Mn -2.767 -2.107 1.707
Au 0.000 0.000 0.000
F -2.169 0.033 -0.545
F -0.055 -2.234 0.084
F -0.543 0.095 2.168
```

space-group type = Pm-3m, No. 221
energy above the lowest structure with this stoichiometry = 796.1 meV per atom

=====

This record from Alexandria describes an optimized crystal structure of MnAu3F. The functional is GGA+U.

The structure in extended XYZ format:
```
5
Lattice="4.626 0.000 0.000 0.000 4.626 0.000 0.000 0.000 4.626" Properties=species:S:1:pos:R:3 pbc="T T T"
Mn 2.313 2.313 2.313
Au 0.000 2.313 0.000
Au 0.000 0.000 2.313
Au 2.313 0.000 0.000
F 0.000 0.000 0.000
```

space-group type = Pm-3m, No. 221
energy above the lowest structure with this stoichiometry = 0.0 meV per atom

=====

This record from Alexandria describes an optimized crystal structure of MnAuF5. The functional is GGA+U.

The structure in extended XYZ format:
```
14
Lattice="-0.749 4.743 -4.551 0.843 -5.377 -2.208 -6.882 -2.092 2.506" Properties=species:S:1:pos:R:3 pbc="T T T"
Mn -0.374 2.371 -2.275
Mn -3.815 1.325 -1.023
Au -2.233 -0.426 -3.983
Au -4.555 -2.299 -0.270
F -0.748 -1.322 -4.965
F -3.067 -3.199 -1.268
F -1.012 -3.702 -3.334
F -3.321 -2.107 -4.039
F -3.467 -0.619 -0.213
F -1.150 1.246 -3.912
F -5.638 -3.972 -0.341
F -5.776 0.976 -0.919
F -3.721 0.474 -2.985
F -6.040 -1.403 0.712
```

space-group type = P-1, No. 2

=====

Number 1: electronic total energy -4.0831 eV/atom. Number 2: electronic total energy -3.4974 eV/atom. Number 3: electronic total energy -4.6370 eV/atom.